Below is crystalline Ho3Sb2S at its relaxed geometry, with properties calculated at the PBE level.

Computed properties:
E   -34.28 eV per cell
Calculated volume   158.6 Å³/cell

Unit cell a=4.2133 b=4.2133 c=10.3146 alpha=90.00 beta=90.00 gamma=120.00
Element x y z (fractional)
S 0.0000 0.0000 0.5000
Sb 0.6667 0.3333 0.1780
Sb 0.3333 0.6667 0.8220
Ho 0.0000 0.0000 0.0000
Ho 0.3333 0.6667 0.3544
Ho 0.6667 0.3333 0.6456